# Rb2TbZn2Se4

A relaxed Rb2TbZn2Se4 crystal (PBE-GGA, Alexandria).

Properties
Its density is 4.94 g cm⁻³. The volume is 29.0 Å³/atom. The value obtained for the final energy is -65.81 eV for the cell shown. The formation energy from raw total energies comes out at -1.0946 eV per atom.

CIF file:
```
data_Rb2TbZn2Se4
_cell_length_a 16.357
_cell_length_b 4.128
_cell_length_c 8.371
_cell_angle_alpha 90.00
_cell_angle_beta 112.42
_cell_angle_gamma 90.00
_symmetry_space_group_name_H-M 'C 1 2/m 1'
_symmetry_Int_Tables_number 12
loop_
_symmetry_equiv_pos_as_xyz
'x,y,z'
'-x,-y,-z'
'-x,y,-z'
'x,-y,z'
'x+1/2,y+1/2,z'
'-x+1/2,-y+1/2,-z'
'-x+1/2,y+1/2,-z'
'x+1/2,-y+1/2,z'
loop_
_atom_site_label
_atom_site_type_symbol
_atom_site_fract_x
_atom_site_fract_y
_atom_site_fract_z
Rb1 Rb 0.129 0.000 0.059
Tb1 Tb 0.000 0.000 0.500
Zn1 Zn 0.184 0.500 0.507
Se1 Se 0.030 0.500 0.283
Se2 Se 0.190 0.000 0.695
```



# ScGaSe2

A relaxed ScGaSe2 crystal (PBE-GGA, Alexandria).

Properties
Its density is 3.52 g cm⁻³. The volume is 32.2 Å³/atom. The value obtained for the final energy is -80.22 eV for the cell shown. The formation energy from raw total energies comes out at -0.9317 eV per atom.

CIF file:
```
data_ScGaSe2
_cell_length_a 6.796
_cell_length_b 6.796
_cell_length_c 11.148
_cell_angle_alpha 90.00
_cell_angle_beta 90.00
_cell_angle_gamma 90.00
_symmetry_space_group_name_H-M 'I -4 2 d'
_symmetry_Int_Tables_number 122
_symmetry_space_group_name_Hall 'I -4 2bw'
loop_
_atom_site_label
_atom_site_type_symbol
_atom_site_fract_x
_atom_site_fract_y
_atom_site_fract_z
Sc1 Sc 0.000 0.000 0.000
Ga1 Ga 0.000 0.000 0.500
Se1 Se 0.199 0.250 0.125
```



# NdPa2B6

A relaxed NdPa2B6 crystal (PBE-GGA, Alexandria).

Properties
Its density is 9.94 g cm⁻³. The calculation puts the formation energy from the elements at -0.508 eV/atom. The volume is 12.5 Å³/atom. The value obtained for the final energy is -68.39 eV for the cell shown.

CIF file:
```
data_NdPa2B6
_cell_length_a 5.6275
_cell_length_b 5.6275
_cell_length_c 4.0864
_cell_angle_alpha 90.00
_cell_angle_beta 90.00
_cell_angle_gamma 120.00
_symmetry_space_group_name_H-M 'P 6/m m m'
_symmetry_Int_Tables_number 191
_symmetry_space_group_name_Hall '-P 6 2'
loop_
_atom_site_label
_atom_site_type_symbol
_atom_site_fract_x
_atom_site_fract_y
_atom_site_fract_z
Nd1 Nd 0.0000 0.0000 0.0000
Pa1 Pa 0.3333 0.6667 0.0000
B1 B 0.0000 0.3394 0.5000
```



# La3AlSi2Pt9

A relaxed La3AlSi2Pt9 crystal (PBE-GGA, Alexandria).

Properties
Its density is 11.80 g cm⁻³. The volume is 21.2 Å³/atom. The value obtained for the final energy is -96.57 eV for the cell shown. The formation energy from raw total energies comes out at -0.8557 eV per atom.

CIF file:
```
data_La3AlSi2Pt9
_cell_length_a 6.4133
_cell_length_b 6.4133
_cell_length_c 8.9127
_cell_angle_alpha 90.00
_cell_angle_beta 90.00
_cell_angle_gamma 120.00
_symmetry_space_group_name_H-M 'P -3 m 1'
_symmetry_Int_Tables_number 164
_symmetry_space_group_name_Hall '-P 3 2"'
loop_
_atom_site_label
_atom_site_type_symbol
_atom_site_fract_x
_atom_site_fract_y
_atom_site_fract_z
La1 La 0.0000 0.0000 0.0000
La2 La 0.3333 0.6667 0.6830
Al1 Al 0.0000 0.0000 0.5000
Si1 Si 0.3333 0.6667 0.1828
Pt1 Pt 0.0000 0.5000 0.0000
Pt2 Pt 0.1439 0.2878 0.2851
```



# Ce2VSi3Ir4

A relaxed Ce2VSi3Ir4 crystal (PBE-GGA, Alexandria).

Properties
Its density is 11.36 g cm⁻³. The volume is 17.3 Å³/atom. The value obtained for the final energy is -82.29 eV for the cell shown. The formation energy from raw total energies comes out at -0.9593 eV per atom.

CIF file:
```
data_Ce2VSi3Ir4
_cell_length_a 4.136
_cell_length_b 4.136
_cell_length_c 10.124
_cell_angle_alpha 90.00
_cell_angle_beta 90.00
_cell_angle_gamma 90.00
_symmetry_space_group_name_H-M 'P -4 m 2'
_symmetry_Int_Tables_number 115
loop_
_symmetry_equiv_pos_as_xyz
'x,y,z'
'y,-x,-z'
'-x,-y,z'
'-y,x,-z'
'-x,y,z'
'-y,-x,-z'
'x,-y,z'
'y,x,-z'
loop_
_atom_site_label
_atom_site_type_symbol
_atom_site_fract_x
_atom_site_fract_y
_atom_site_fract_z
Ce1 Ce 0.000 0.500 0.246
V1 V 0.500 0.500 0.000
Si1 Si 0.000 0.000 0.000
Si2 Si 0.000 0.500 0.628
Ir1 Ir 0.000 0.000 0.500
Ir2 Ir 0.000 0.500 0.867
Ir3 Ir 0.500 0.500 0.500
```



# K2PmInO4

A relaxed K2PmInO4 crystal (PBE-GGA, Alexandria).

Properties
Its density is 5.06 g cm⁻³. The volume is 16.5 Å³/atom. The value obtained for the final energy is -46.03 eV for the cell shown. The formation energy from raw total energies comes out at -2.0645 eV per atom.

CIF file:
```
data_K2PmInO4
_cell_length_a 5.993
_cell_length_b 3.503
_cell_length_c 6.606
_cell_angle_alpha 90.00
_cell_angle_beta 108.03
_cell_angle_gamma 90.00
_symmetry_space_group_name_H-M 'P 1 2/m 1'
_symmetry_Int_Tables_number 10
loop_
_symmetry_equiv_pos_as_xyz
'x,y,z'
'-x,-y,-z'
'-x,y,-z'
'x,-y,z'
loop_
_atom_site_label
_atom_site_type_symbol
_atom_site_fract_x
_atom_site_fract_y
_atom_site_fract_z
K1 K 0.000 0.000 0.000
K2 K 0.500 0.500 0.000
Pm1 Pm 0.000 0.500 0.500
In1 In 0.500 0.000 0.500
O1 O 0.239 0.000 0.692
O2 O 0.282 0.500 0.311
```



# Rb2FePbBr6

A relaxed Rb2FePbBr6 crystal (PBE-GGA, Alexandria).

Properties
The offset from the most stable computed form is 0 meV per atom. Its density is 4.40 g cm⁻³. The volume is 34.4 Å³/atom. The value obtained for the final energy is -69.93 eV for the cell shown. The formation energy from raw total energies comes out at -1.0823 eV per atom.

CIF file:
```
data_Rb2FePbBr6
_cell_length_a 7.779
_cell_length_b 7.948
_cell_length_c 13.558
_cell_angle_alpha 90.00
_cell_angle_beta 124.77
_cell_angle_gamma 90.00
_symmetry_space_group_name_H-M 'P 1 21/c 1'
_symmetry_Int_Tables_number 14
loop_
_symmetry_equiv_pos_as_xyz
'x,y,z'
'-x,-y,-z'
'-x,y+1/2,-z+1/2'
'x,-y+1/2,z+1/2'
loop_
_atom_site_label
_atom_site_type_symbol
_atom_site_fract_x
_atom_site_fract_y
_atom_site_fract_z
Rb1 Rb 0.233 0.056 0.248
Fe1 Fe 0.000 0.000 0.500
Pb1 Pb 0.500 0.000 0.000
Br1 Br 0.150 0.224 0.963
Br2 Br 0.241 0.689 0.964
Br3 Br 0.303 0.009 0.732
```



# NaHoCd2Au4

A relaxed NaHoCd2Au4 crystal (PBE-GGA, Alexandria).

Properties
Its density is 12.03 g cm⁻³. The calculation puts the formation energy from the elements at -0.452 eV/atom. The volume is 20.7 Å³/atom. The value obtained for the final energy is -73.35 eV for the cell shown.

CIF file:
```
data_NaHoCd2Au4
_cell_length_a 4.8785
_cell_length_b 4.8785
_cell_length_c 24.1298
_cell_angle_alpha 90.00
_cell_angle_beta 90.00
_cell_angle_gamma 120.00
_symmetry_space_group_name_H-M 'R -3 m'
_symmetry_Int_Tables_number 166
_symmetry_space_group_name_Hall '-R 3 2"'
loop_
_atom_site_label
_atom_site_type_symbol
_atom_site_fract_x
_atom_site_fract_y
_atom_site_fract_z
Na1 Na 0.0000 0.0000 0.0000
Ho1 Ho 0.0000 0.0000 0.5000
Cd1 Cd 0.0000 0.0000 0.2533
Au1 Au 0.0000 0.0000 0.1248
Au2 Au 0.0000 0.0000 0.3770
```



# Ca3SnSb

A relaxed Ca3SnSb crystal (PBE-GGA, Alexandria).

Properties
The offset from the most stable computed form is 283 meV per atom. Its density is 3.04 g cm⁻³. The volume is 39.4 Å³/atom. The value obtained for the final energy is -16.17 eV for the cell shown. The formation energy from raw total energies comes out at -0.4079 eV per atom.

CIF file:
```
data_Ca3SnSb
_cell_length_a 5.820
_cell_length_b 5.820
_cell_length_c 5.820
_cell_angle_alpha 90.00
_cell_angle_beta 90.00
_cell_angle_gamma 90.00
_symmetry_space_group_name_H-M 'P m -3 m'
_symmetry_Int_Tables_number 221
_symmetry_space_group_name_Hall '-P 4 2 3'
loop_
_atom_site_label
_atom_site_type_symbol
_atom_site_fract_x
_atom_site_fract_y
_atom_site_fract_z
Ca1 Ca 0.000 0.000 0.500
Sn1 Sn 0.500 0.500 0.500
Sb1 Sb 0.000 0.000 0.000
```



# Zr2InCu

A relaxed Zr2InCu crystal (PBE-GGA, Alexandria).

Properties
Its density is 7.55 g cm⁻³. The calculation puts the formation energy from the elements at -0.216 eV/atom. The volume is 19.8 Å³/atom. The value obtained for the final energy is -24.79 eV for the cell shown.

CIF file:
```
data_Zr2InCu
_cell_length_a 3.158
_cell_length_b 3.158
_cell_length_c 7.959
_cell_angle_alpha 90.00
_cell_angle_beta 90.00
_cell_angle_gamma 90.00
_symmetry_space_group_name_H-M 'P 4/m m m'
_symmetry_Int_Tables_number 123
_symmetry_space_group_name_Hall '-P 4 2'
loop_
_atom_site_label
_atom_site_type_symbol
_atom_site_fract_x
_atom_site_fract_y
_atom_site_fract_z
Zr1 Zr 0.000 0.000 0.223
In1 In 0.500 0.500 0.500
Cu1 Cu 0.500 0.500 0.000
```



# NiOs2Br

A relaxed NiOs2Br crystal (PBE-GGA, Alexandria).

Properties
The offset from the most stable computed form is 240 meV per atom. Its density is 11.18 g cm⁻³. The volume is 19.3 Å³/atom. The value obtained for the final energy is -79.32 eV for the cell shown. The formation energy from raw total energies comes out at 0.8684 eV per atom.

CIF file:
```
data_NiOs2Br
_cell_length_a 2.6875
_cell_length_b 2.6875
_cell_length_c 36.9632
_cell_angle_alpha 90.00
_cell_angle_beta 90.00
_cell_angle_gamma 120.00
_symmetry_space_group_name_H-M 'R -3 m'
_symmetry_Int_Tables_number 166
_symmetry_space_group_name_Hall '-R 3 2"'
loop_
_atom_site_label
_atom_site_type_symbol
_atom_site_fract_x
_atom_site_fract_y
_atom_site_fract_z
Ni1 Ni 0.0000 0.0000 0.0000
Os1 Os 0.0000 0.0000 0.2782
Br1 Br 0.0000 0.0000 0.5000
```



# Cs6RbCl8

A relaxed Cs6RbCl8 crystal (PBE-GGA, Alexandria).

Properties
Its density is 2.88 g cm⁻³. The volume is 44.8 Å³/atom. The value obtained for the final energy is -46.12 eV for the cell shown. The formation energy from raw total energies comes out at -1.6835 eV per atom.

CIF file:
```
data_Cs6RbCl8
_cell_length_a 11.9504
_cell_length_b 11.9504
_cell_length_c 5.4288
_cell_angle_alpha 90.00
_cell_angle_beta 90.00
_cell_angle_gamma 120.00
_symmetry_space_group_name_H-M 'P -3'
_symmetry_Int_Tables_number 147
loop_
_symmetry_equiv_pos_as_xyz
'x,y,z'
'-x,-y,-z'
'-y,x-y,z'
'y,-x+y,-z'
'-x+y,-x,z'
'x-y,x,-z'
loop_
_atom_site_label
_atom_site_type_symbol
_atom_site_fract_x
_atom_site_fract_y
_atom_site_fract_z
Cs1 Cs 0.1170 0.4580 0.2632
Rb1 Rb 0.0000 0.0000 0.0000
Cl1 Cl 0.0231 0.7246 0.2326
Cl2 Cl 0.3333 0.6667 0.7585
```